Hg2Pd8Pt: optimized geometry, PBE-GGA.

Summary:
DFT formation energy = 0.69 eV per formula unit
Offset from the most stable computed form = 12.8 kJ per mole of atoms
Total moment = 0.00 μB/cell
DOS(E_F) = 12.2 states/eV per cell
Crystal system = monoclinic
Symmetry = C2/m, No. 12

Cell lengths 7.958, 7.958, 5.075 Å; angles 107.72, 107.72, 38.11 degrees
Sites, in units of the cell vectors:
1 Hg 0.189 0.189 0.048
2 Hg 0.811 0.811 0.952
3 Pd 0.162 0.662 0.527
4 Pd 0.262 0.262 0.619
5 Pd 0.338 0.838 0.473
6 Pd 0.420 0.420 0.063
7 Pd 0.580 0.580 0.937
8 Pd 0.662 0.162 0.527
9 Pd 0.738 0.738 0.381
10 Pd 0.838 0.338 0.473
11 Pt 0.000 0.000 0.000